1.
VASP calculation (GGA-PBE) on an optimized crystal structure of Ac2BeIr.

The energy of formation comes out at -0.07 eV/atom. The value obtained for the offset from the most stable computed form is 1.434 eV per formula unit. Its calculated volume is 26.1 Å³/atom. The calculation puts the final energy at -0.38746 Ry per atom.

It has space group Fm-3m (No. 225), with a = 7.4746 Å, b = 7.4746 Å, c = 7.4746 Å, α = 90.00°, β = 90.00° and γ = 90.00°. Symmetry generates all atoms from Ac at (0.2500, 0.2500, 0.2500), Be at (0.0000, 0.0000, 0.0000) and Ir at (0.0000, 0.0000, 0.5000).

2.
VASP calculation (GGA-PBE) on an optimized crystal structure of Ac2BeIr2.

The energy of formation comes out at -0.50 eV/atom. Its calculated volume is 22.9 Å³/atom. The calculation puts the final energy at -0.47284 Ry per atom.

It has space group C2/c (No. 15), with a = 10.4991 Å, b = 5.9084 Å, c = 7.5540 Å, α = 90.00°, β = 102.42° and γ = 90.00°. Symmetry generates all atoms from Ac at (0.1494, 0.1301, 0.1505), Be at (0.0000, 0.4232, 0.7500) and Ir at (0.1219, 0.3773, 0.5115).

3.
VASP calculation (GGA-PBE) on an optimized crystal structure of AcBeIr.

The energy of formation comes out at -0.35 eV/atom. The value obtained for the offset from the most stable computed form is 0.496 eV per formula unit. Its calculated volume is 19.8 Å³/atom. The calculation puts the final energy at -0.43472 Ry per atom.

It has space group Cmcm (No. 63), with a = 3.6628 Å, b = 11.2899 Å, c = 5.7342 Å, α = 90.00°, β = 90.00° and γ = 90.00°. Symmetry generates all atoms from Ac at (0.0000, 0.1905, 0.2500), Be at (0.0000, 0.0638, 0.7500) and Ir at (0.0000, 0.5000, 0.0000).

4.
VASP calculation (GGA-PBE) on an optimized crystal structure of AcBeIr.

The energy of formation comes out at -0.11 eV/atom. The value obtained for the offset from the most stable computed form is 1.228 eV per formula unit. Its calculated volume is 19.7 Å³/atom. The calculation puts the final energy at -0.41680 Ry per atom.

It has space group I4mm (No. 107), with a = 3.3215 Å, b = 3.3215 Å, c = 10.7064 Å, α = 90.00°, β = 90.00° and γ = 90.00°. Symmetry generates all atoms from Ac at (0.0000, 0.0000, 0.0000), Be at (0.0000, 0.0000, 0.7179) and Ir at (0.0000, 0.0000, 0.2779).